Entry from the Alexandria database: a relaxed Ba2AgPd3 crystal (GGA-PBE).

CIF file:
```
data_Ba2AgPd3
_space_group_name_H-M_alt 'C 1 2/m 1'
_space_group_IT_number 12
_cell_length_a 9.895
_cell_length_b 5.891
_cell_length_c 5.750
_cell_angle_alpha 90.00
_cell_angle_beta 123.55
_cell_angle_gamma 90.00
loop_
_space_group_symop_operation_xyz
'x,y,z'
'-x,-y,-z'
'-x,y,-z'
'x,-y,z'
'x+1/2,y+1/2,z'
'-x+1/2,-y+1/2,-z'
'-x+1/2,y+1/2,-z'
'x+1/2,-y+1/2,z'
loop_
_atom_site_label
_atom_site_fract_x
_atom_site_fract_y
_atom_site_fract_z
Ba1 0.125 0.000 0.375
Ag1 0.000 0.500 0.000
Pd1 0.000 0.500 0.500
Pd2 0.250 0.250 0.000
```

## Properties
V   23.28 Å³/atom
ΔH_f (0 K)   -269.5 kJ/mol of formula units

---

Entry from the Alexandria database: a relaxed YTeAs2 crystal (GGA-PBE).

CIF file:
```
data_YTeAs2
_space_group_name_H-M_alt 'P 1 m 1'
_space_group_IT_number 6
_cell_length_a 4.113
_cell_length_b 4.253
_cell_length_c 6.053
_cell_angle_alpha 90.00
_cell_angle_beta 108.78
_cell_angle_gamma 90.00
loop_
_space_group_symop_operation_xyz
'x,y,z'
'x,-y,z'
loop_
_atom_site_label
_atom_site_fract_x
_atom_site_fract_y
_atom_site_fract_z
Y1 0.000 0.000 0.000
Te1 0.426 0.500 0.831
As1 0.669 0.000 0.408
As2 0.998 0.500 0.361
```

## Properties
V   25.06 Å³/atom
Formation energy from raw total energies   -0.728 eV per atom

---

Entry from the Alexandria database: a relaxed AgPRhO2 crystal (GGA-PBE).

CIF file:
```
data_AgPRhO2
_space_group_name_H-M_alt 'P 4/m m m'
_space_group_IT_number 123
_space_group_name_Hall '-P 4 2'
_cell_length_a 3.856
_cell_length_b 3.856
_cell_length_c 5.180
_cell_angle_alpha 90.00
_cell_angle_beta 90.00
_cell_angle_gamma 90.00
loop_
_atom_site_label
_atom_site_fract_x
_atom_site_fract_y
_atom_site_fract_z
Ag1 0.000 0.000 0.000
P1 0.000 0.000 0.500
Rh1 0.500 0.500 0.500
O1 0.000 0.500 0.000
```

## Properties
V   15.40 Å³/atom
Formation energy from raw total energies   0.923 eV per atom

---

Entry from the Alexandria database: a relaxed La2SnPt crystal (GGA-PBE).

CIF file:
```
data_La2SnPt
_space_group_name_H-M_alt 'P 4/m m m'
_space_group_IT_number 123
_space_group_name_Hall '-P 4 2'
_cell_length_a 3.639
_cell_length_b 3.639
_cell_length_c 8.274
_cell_angle_alpha 90.00
_cell_angle_beta 90.00
_cell_angle_gamma 90.00
loop_
_atom_site_label
_atom_site_fract_x
_atom_site_fract_y
_atom_site_fract_z
La1 0.000 0.000 0.219
Sn1 0.500 0.500 0.500
Pt1 0.500 0.500 0.000
```

## Properties
V   27.39 Å³/atom
ΔH_f (0 K)   -349.1 kJ/mol of formula units

---

Entry from the Alexandria database: a relaxed Pr2Y3In crystal (GGA-PBE).

CIF file:
```
data_Pr2Y3In
_space_group_name_H-M_alt 'I m m a'
_space_group_IT_number 74
_space_group_name_Hall '-I 2b 2'
_cell_length_a 5.180
_cell_length_b 9.393
_cell_length_c 15.708
_cell_angle_alpha 90.00
_cell_angle_beta 90.00
_cell_angle_gamma 90.00
loop_
_atom_site_label
_atom_site_fract_x
_atom_site_fract_y
_atom_site_fract_z
Pr1 0.000 0.250 0.026
Pr2 0.000 0.250 0.325
Y1 0.000 0.000 0.500
Y2 0.000 0.046 0.828
In1 0.000 0.250 0.644
```

## Properties
V   31.84 Å³/atom
ΔH_f (0 K)   -88.5 kJ/mol of formula units

---

Entry from the Alexandria database: a relaxed Pm2Y3Er4 crystal (GGA-PBE).

CIF file:
```
data_Pm2Y3Er4
_space_group_name_H-M_alt 'C 1 2/c 1'
_space_group_IT_number 15
_cell_length_a 16.670
_cell_length_b 11.602
_cell_length_c 5.989
_cell_angle_alpha 90.00
_cell_angle_beta 97.02
_cell_angle_gamma 90.00
loop_
_space_group_symop_operation_xyz
'x,y,z'
'-x,-y,-z'
'-x,y,-z+1/2'
'x,-y,z+1/2'
'x+1/2,y+1/2,z'
'-x+1/2,-y+1/2,-z'
'-x+1/2,y+1/2,-z+1/2'
'x+1/2,-y+1/2,z+1/2'
loop_
_atom_site_label
_atom_site_fract_x
_atom_site_fract_y
_atom_site_fract_z
Pm1 0.106 0.114 0.279
Y1 0.000 0.150 0.750
Y2 0.164 0.349 0.587
Er1 0.061 0.393 0.045
Er2 0.232 0.109 0.874
```

## Properties
V   31.93 Å³/atom
ΔH_f (0 K)   85.4 kJ/mol of formula units

---

Entry from the Alexandria database: a relaxed BaHBr crystal (GGA-PBE).

CIF file:
```
data_BaHBr
_space_group_name_H-M_alt 'I 4/m m m'
_space_group_IT_number 139
_space_group_name_Hall '-I 4 2'
_cell_length_a 4.388
_cell_length_b 4.388
_cell_length_c 16.611
_cell_angle_alpha 90.00
_cell_angle_beta 90.00
_cell_angle_gamma 90.00
loop_
_atom_site_label
_atom_site_fract_x
_atom_site_fract_y
_atom_site_fract_z
Ba1 0.000 0.000 0.107
H1 0.000 0.500 0.000
Br1 0.000 0.000 0.319
```

## Properties
V   26.65 Å³/atom
DFT total energy   -3.610 eV per atom

---

Entry from the Alexandria database: a relaxed La2NiAs4 crystal (GGA-PBE).

CIF file:
```
data_La2NiAs4
_space_group_name_H-M_alt 'I 4/m m m'
_space_group_IT_number 139
_space_group_name_Hall '-I 4 2'
_cell_length_a 4.691
_cell_length_b 4.691
_cell_length_c 14.960
_cell_angle_alpha 90.00
_cell_angle_beta 90.00
_cell_angle_gamma 90.00
loop_
_atom_site_label
_atom_site_fract_x
_atom_site_fract_y
_atom_site_fract_z
La1 0.000 0.000 0.139
Ni1 0.000 0.000 0.500
As1 0.000 0.000 0.340
As2 0.000 0.500 0.000
```

## Properties
V   23.51 Å³/atom
ΔH_f (0 K)   -521.8 kJ/mol of formula units

---

Entry from the Alexandria database: a relaxed Zr2PdNCl crystal (GGA-PBE).

CIF file:
```
data_Zr2PdNCl
_space_group_name_H-M_alt 'P 4/m m m'
_space_group_IT_number 123
_space_group_name_Hall '-P 4 2'
_cell_length_a 5.068
_cell_length_b 5.068
_cell_length_c 4.540
_cell_angle_alpha 90.00
_cell_angle_beta 90.00
_cell_angle_gamma 90.00
loop_
_atom_site_label
_atom_site_fract_x
_atom_site_fract_y
_atom_site_fract_z
Zr1 0.000 0.500 0.000
Pd1 0.000 0.000 0.000
N1 0.500 0.500 0.500
Cl1 0.000 0.000 0.500
```

## Properties
V   23.32 Å³/atom
Formation energy from raw total energies   1.286 eV per atom

---

Entry from the Alexandria database: a relaxed Pm3NdTh4Se8 crystal (GGA-PBE).

CIF file:
```
data_Pm3NdTh4Se8
_space_group_name_H-M_alt 'R -3 m'
_space_group_IT_number 166
_space_group_name_Hall '-R 3 2"'
_cell_length_a 8.3119
_cell_length_b 8.3119
_cell_length_c 21.0322
_cell_angle_alpha 90.00
_cell_angle_beta 90.00
_cell_angle_gamma 120.00
loop_
_atom_site_label
_atom_site_fract_x
_atom_site_fract_y
_atom_site_fract_z
Pm1 0.0000 0.5000 0.0000
Nd1 0.0000 0.0000 0.0000
Th1 0.0000 0.0000 0.5000
Th2 0.0000 0.5000 0.5000
Se1 0.0000 0.0000 0.2515
Se2 0.0013 0.5006 0.2512
```

## Properties
V   26.21 Å³/atom
Formation energy from raw total energies   -1.684 eV per atom

---

Entry from the Alexandria database: a relaxed Rb3MnBr6 crystal (GGA-PBE).

CIF file:
```
data_Rb3MnBr6
_space_group_name_H-M_alt 'I 4/m m m'
_space_group_IT_number 139
_space_group_name_Hall '-I 4 2'
_cell_length_a 8.054
_cell_length_b 8.054
_cell_length_c 12.054
_cell_angle_alpha 90.00
_cell_angle_beta 90.00
_cell_angle_gamma 90.00
loop_
_atom_site_label
_atom_site_fract_x
_atom_site_fract_y
_atom_site_fract_z
Rb1 0.000 0.000 0.000
Rb2 0.000 0.500 0.250
Mn1 0.000 0.000 0.500
Br1 0.000 0.000 0.270
Br2 0.216 0.216 0.500
```

## Properties
V   39.09 Å³/atom
Formation energy from raw total energies   -1.270 eV per atom

---

Entry from the Alexandria database: a relaxed RbGeSb crystal (GGA-PBE).

CIF file:
```
data_RbGeSb
_space_group_name_H-M_alt 'R 3 m'
_space_group_IT_number 160
_space_group_name_Hall 'R 3 -2"'
_cell_length_a 4.2371
_cell_length_b 4.2371
_cell_length_c 20.2649
_cell_angle_alpha 90.00
_cell_angle_beta 90.00
_cell_angle_gamma 120.00
loop_
_atom_site_label
_atom_site_fract_x
_atom_site_fract_y
_atom_site_fract_z
Rb1 0.0000 0.0000 0.0000
Ge1 0.0000 0.0000 0.7930
Sb1 0.0000 0.0000 0.5244
```

## Properties
V   35.01 Å³/atom
Formation energy from raw total energies   -0.245 eV per atom